Version w
{
  "formula": "SrCrW2",
  "functional": "PBE",
  "state": "relaxed",
  "lattice_angstrom": [[5.0406, 0.0000, 0.0000], [0.0000, 5.0406, 0.0000], [0.0000, 0.0000, 16.4455]],
  "species": ["Sr", "Sr", "Sr", "Sr", "Cr", "Cr", "Cr", "Cr", "W", "W", "W", "W", "W", "W", "W", "W"],
  "fractional_positions": [[0.0000, 0.2500, 0.3750], [0.0000, 0.7500, 0.6250], [0.5000, 0.2500, 0.1250], [0.5000, 0.7500, 0.8750], [0.0000, 0.2500, 0.8750], [0.0000, 0.7500, 0.1250], [0.5000, 0.2500, 0.6250], [0.5000, 0.7500, 0.3750], [0.0000, 0.0000, 0.0000], [0.0000, 0.5000, 0.0000], [0.2500, 0.2500, 0.7500], [0.2500, 0.7500, 0.2500], [0.5000, 0.0000, 0.5000], [0.5000, 0.5000, 0.5000], [0.7500, 0.2500, 0.7500], [0.7500, 0.7500, 0.2500]],
  "magmom_total_mub_per_cell": 0.00,
  "dos_ef_per_ev_fu": 6.88,
  "sg": "I4_1/amd (141)"
}


Version x
{
  "formula": "SrCrW2",
  "functional": "PBE",
  "state": "relaxed",
  "lattice_angstrom": [[3.4119, 0.0000, 0.0000], [0.0000, 3.4119, 0.0000], [0.0000, 0.0000, 7.3620]],
  "species": ["Sr", "Cr", "W", "W"],
  "fractional_positions": [[0.0000, 0.0000, 0.0000], [0.5000, 0.5000, 0.6566], [0.0000, 0.0000, 0.5157], [0.5000, 0.5000, 0.3485]],
  "magmom_total_mub_per_cell": 0.28,
  "dos_ef_per_ev_fu": 4.20,
  "sg": "P4mm (99)"
}


Version y
{
  "formula": "SrCrW2",
  "functional": "PBE",
  "state": "relaxed",
  "lattice_angstrom": [[3.0100, 0.0000, 0.0000], [-1.5050, 2.6067, 0.0000], [0.0000, 0.0000, 28.4671]],
  "species": ["Sr", "Sr", "Sr", "Cr", "Cr", "Cr", "W", "W", "W", "W", "W", "W"],
  "fractional_positions": [[0.0000, 0.0000, 0.0000], [0.3333, 0.6667, 0.6667], [0.6667, 0.3333, 0.3333], [0.0000, 0.0000, 0.5000], [0.3333, 0.6667, 0.1667], [0.6667, 0.3333, 0.8333], [0.0000, 0.0000, 0.2322], [0.0000, 0.0000, 0.7678], [0.3333, 0.6667, 0.4345], [0.3333, 0.6667, 0.8989], [0.6667, 0.3333, 0.1011], [0.6667, 0.3333, 0.5655]],
  "magmom_total_mub_per_cell": 1.29,
  "dos_ef_per_ev_fu": 4.23,
  "sg": "R-3m (166)"
}


Relative energies in kJ/mol of atoms: version w 73.3; version x 0.0; version y 23.2


Version w
{
  "formula": "SrCrW2",
  "functional": "PBE",
  "state": "relaxed",
  "lattice_angstrom": [[4.8612, 0.0000, 0.0000], [0.0000, 4.8612, 0.0000], [0.0000, 0.0000, 2.9940]],
  "species": ["Sr", "Cr", "W", "W"],
  "fractional_positions": [[0.0000, 0.0000, 0.0000], [0.5000, 0.5000, 0.0000], [0.0000, 0.5000, 0.5000], [0.5000, 0.0000, 0.5000]],
  "magmom_total_mub_per_cell": 0.00,
  "dos_ef_per_ev_fu": 4.52,
  "sg": "P4/mmm (123)"
}


Version x
{
  "formula": "SrCrW2",
  "functional": "PBE",
  "state": "relaxed",
  "lattice_angstrom": [[2.8969, 0.0000, 0.0000], [0.0000, 5.1393, 0.0000], [0.0000, 0.0000, 10.1624]],
  "species": ["Sr", "Sr", "Cr", "Cr", "W", "W", "W", "W"],
  "fractional_positions": [[0.0000, 0.0000, 0.0000], [0.5000, 0.5000, 0.5000], [0.0000, 0.0000, 0.5000], [0.5000, 0.5000, 0.0000], [0.0000, 0.5000, 0.2082], [0.0000, 0.5000, 0.7918], [0.5000, 0.0000, 0.2918], [0.5000, 0.0000, 0.7082]],
  "magmom_total_mub_per_cell": 2.46,
  "dos_ef_per_ev_fu": 4.89,
  "sg": "Immm (71)"
}


Version y
{
  "formula": "SrCrW2",
  "functional": "PBE",
  "state": "relaxed",
  "lattice_angstrom": [[2.9697, 0.0000, 0.0000], [0.0000, 4.1373, 0.0000], [-1.3322, 0.0000, 6.9173]],
  "species": ["Sr", "Cr", "W", "W"],
  "fractional_positions": [[0.0000, 0.0000, 0.0000], [0.5326, 0.5000, 0.6624], [0.1269, 0.0000, 0.5226], [0.6555, 0.5000, 0.3564]],
  "magmom_total_mub_per_cell": 0.00,
  "dos_ef_per_ev_fu": 2.60,
  "sg": "Pm (6)"
}


Version z
{
  "formula": "SrCrW2",
  "functional": "PBE",
  "state": "relaxed",
  "lattice_angstrom": [[9.6867, 0.0000, 0.0000], [0.0000, 3.1623, 0.0000], [-1.5526, 0.0000, 5.5618]],
  "species": ["Sr", "Sr", "Cr", "Cr", "W", "W", "W", "W"],
  "fractional_positions": [[0.0000, 0.0000, 0.0000], [0.5000, 0.5000, 0.0000], [0.0000, 0.5000, 0.5000], [0.5000, 0.0000, 0.5000], [0.2045, 0.0000, 0.6351], [0.2955, 0.5000, 0.3649], [0.7045, 0.5000, 0.6351], [0.7955, 0.0000, 0.3649]],
  "magmom_total_mub_per_cell": 0.00,
  "dos_ef_per_ev_fu": 3.58,
  "sg": "C2/m (12)"
}


Relative energies in kJ/mol of atoms: version w 78.4; version x 25.8; version y 0.0; version z 16.8


Version w
{
  "formula": "SrCrW2",
  "functional": "PBE",
  "state": "relaxed",
  "lattice_angstrom": [[3.9125, 0.0000, 0.0000], [0.0000, 3.9125, 0.0000], [0.0000, 0.0000, 5.1034]],
  "species": ["Sr", "Cr", "W", "W"],
  "fractional_positions": [[0.0000, 0.0000, 0.0000], [0.5000, 0.5000, 0.0000], [0.0000, 0.5000, 0.5000], [0.5000, 0.0000, 0.5000]],
  "magmom_total_mub_per_cell": 3.35,
  "dos_ef_per_ev_fu": 4.25,
  "sg": "P4/mmm (123)"
}


Version x
{
  "formula": "SrCrW2",
  "functional": "PBE",
  "state": "relaxed",
  "lattice_angstrom": [[3.0326, 0.0000, 0.0000], [0.0000, 5.1122, 0.0000], [0.0000, 0.0000, 9.6780]],
  "species": ["Sr", "Sr", "Cr", "Cr", "W", "W", "W", "W"],
  "fractional_positions": [[0.0000, 0.0000, 0.0000], [0.5000, 0.5000, 0.5000], [0.0000, 0.5000, 0.2330], [0.5000, 0.0000, 0.7330], [0.0000, 0.0000, 0.5435], [0.0000, 0.5000, 0.7860], [0.5000, 0.0000, 0.2860], [0.5000, 0.5000, 0.0435]],
  "magmom_total_mub_per_cell": 0.01,
  "dos_ef_per_ev_fu": 4.49,
  "sg": "Imm2 (44)"
}


Relative energies in kJ/mol of atoms: version w 5.6; version x 0.0